DFT (PBE-GGA) results for a relaxed LaScCu2 crystal.

POSCAR file:
```
LaScCu2
1.0
-3.815 -2.655 -0.997
2.845 -3.623 -1.173
0.410 2.050 4.269
Cu La Sc
2 1 1
Cartesian
0.000 0.000 0.000 Cu
1.385 -2.356 1.006 Cu
-0.485 -3.139 -1.085 La
-1.945 -1.872 1.093 Sc
```

Properties
total moment = 0.00 μB/f.u.
offset from the most stable computed form = 236 meV per atom
volume = 76 Å³/cell
D(E_F) = 0.58 states/eV/cell
space group = I-4m2 (119)
formation enthalpy at 0 K = 0.18 eV per formula unit